Material: Ca2CuOs
Method: DFT, PBE
State: optimized geometry

Symmetry: R3m, No. 160
Formation energy, meV per atom: 241

abc: 7.622 7.622 7.622
angles: 31.93 31.93 31.93
Positions (direct):
Ca 0.000 0.000 0.000
Ca 0.169 0.169 0.169
Cu 0.752 0.752 0.752
Os 0.418 0.418 0.418